1.
# meta-GGA SCAN Mn3ReNi, PBEsol geometry
# Total moment ... 10.98 Bohr magnetons per cell
# ΔE_f ... 1.05 eV/atom
# Density ... 9.39 g cm⁻³
data_Mn3ReNi
_symmetry_space_group_name_H-M 'P m -3 m'
_symmetry_Int_Tables_number 221
_symmetry_space_group_name_Hall '-P 4 2 3'
_cell_length_a 4.169
_cell_length_b 4.169
_cell_length_c 4.169
_cell_angle_alpha 90.00
_cell_angle_beta 90.00
_cell_angle_gamma 90.00
loop_
_atom_site_label
_atom_site_type_symbol
_atom_site_fract_x
_atom_site_fract_y
_atom_site_fract_z
Mn1 Mn 0.000 0.000 0.500
Re1 Re 0.500 0.500 0.500
Ni1 Ni 0.000 0.000 0.000



2.
# meta-GGA SCAN P2BrO2, PBEsol geometry
# Energy relative to the elements, uncorrected ... 0.894 eV/atom
# Total moment ... 0.54 Bohr magnetons per cell
# Density ... 3.87 g cm⁻³
data_P2BrO2
_symmetry_space_group_name_H-M 'P 4/m m m'
_symmetry_Int_Tables_number 123
_symmetry_space_group_name_Hall '-P 4 2'
_cell_length_a 3.647
_cell_length_b 3.647
_cell_length_c 5.611
_cell_angle_alpha 90.00
_cell_angle_beta 90.00
_cell_angle_gamma 90.00
loop_
_atom_site_label
_atom_site_type_symbol
_atom_site_fract_x
_atom_site_fract_y
_atom_site_fract_z
P1 P 0.000 0.000 0.000
P2 P 0.500 0.500 0.000
Br1 Br 0.000 0.000 0.500
O1 O 0.000 0.500 0.500



3.
# meta-GGA SCAN Mo2AsF, PBEsol geometry
# Energy relative to the elements, uncorrected ... 0.030 eV/atom
# Total moment ... 0.00 Bohr magnetons per cell
# Density ... 8.52 g cm⁻³
# Energy above the lowest structure with this stoichiometry ... 185 meV per atom
data_Mo2AsF
_symmetry_space_group_name_H-M 'I -4 2 d'
_symmetry_Int_Tables_number 122
_symmetry_space_group_name_Hall 'I -4 2bw'
_cell_length_a 6.456
_cell_length_b 6.456
_cell_length_c 5.344
_cell_angle_alpha 90.00
_cell_angle_beta 90.00
_cell_angle_gamma 90.00
loop_
_atom_site_label
_atom_site_type_symbol
_atom_site_fract_x
_atom_site_fract_y
_atom_site_fract_z
Mo1 Mo 0.183 0.250 0.125
As1 As 0.000 0.000 0.500
F1 F 0.000 0.000 0.000